VASP calculation (PBE) on an optimized crystal structure of Li3CrW2N6. Values from VASP.

Cell and atoms, written as Quantum ESPRESSO input:
```
&SYSTEM
  ibrav = 0, nat = 12, ntyp = 4
/
ATOMIC_SPECIES
Li 6.94 Li.upf
Cr 52.00 Cr.upf
W 183.84 W.upf
N 14.01 N.upf
CELL_PARAMETERS angstrom
-2.016 -0.715 4.680
-0.714 -3.532 -3.674
5.162 -0.973 1.133
ATOMIC_POSITIONS angstrom
Li 1.655 -3.560 -1.750
Li 0.776 -1.659 3.889
Li 1.216 -2.610 1.069
Cr 0.000 0.000 0.000
W -1.148 -2.594 -0.892
W -1.583 -1.653 1.898
N 1.729 -3.499 3.052
N -0.866 -3.345 0.993
N 0.702 -1.720 -0.913
N 2.168 -4.449 0.236
N 3.297 -1.874 1.146
N 0.264 -0.771 1.903
```

- Raw formation energy: -12.69 kcal/mol of atoms
- Energy: -8.15 eV per atom
- D(E_F): 1.4 states/eV/f.u.
- Total magnetic moment: 2.97 μB per cell

VASP calculation (PBE) on an optimized crystal structure of HfAsIrSe2. Values from VASP.

Cell and atoms, written as Quantum ESPRESSO input:
```
&SYSTEM
  ibrav = 0, nat = 5, ntyp = 4
/
ATOMIC_SPECIES
As 74.92 As.upf
Ir 192.22 Ir.upf
Hf 178.49 Hf.upf
Se 78.96 Se.upf
CELL_PARAMETERS angstrom
-4.024 -2.527 1.636
0.884 -3.603 -3.390
2.964 -2.500 3.430
ATOMIC_POSITIONS angstrom
As 1.482 -1.250 1.715
Ir -0.088 -4.315 0.838
Hf 0.000 0.000 0.000
Se 0.442 -1.802 -1.695
Se -2.012 -1.263 0.818
```

- ΔE to the lowest computed polymorph: 329 meV/atom
- Raw formation energy: 18.10 kcal/mol of atoms
- Energy: -5.30 eV per atom
- D(E_F): 6.7 states/eV/f.u.
- Total magnetic moment: 2.01 μB per cell

VASP calculation (PBE) on an optimized crystal structure of ReBW. Values from VASP.

Cell and atoms, written as Quantum ESPRESSO input:
```
&SYSTEM
  ibrav = 0, nat = 3, ntyp = 3
/
ATOMIC_SPECIES
Re 186.21 Re.upf
B 10.81 B.upf
W 183.84 W.upf
CELL_PARAMETERS angstrom
-2.715 -0.660 0.115
0.515 -1.750 2.120
0.369 4.751 1.988
ATOMIC_POSITIONS angstrom
Re -0.437 2.119 1.856
B -1.359 0.048 2.214
W -0.036 0.173 0.152
```

- ΔE to the lowest computed polymorph: 391 meV/atom
- Energy: -10.58 eV per atom
- D(E_F): 2.9 states/eV/f.u.
- Total magnetic moment: 0.00 μB per cell
- Energy relative to the elements: 0.11 eV/atom

VASP calculation (PBE) on an optimized crystal structure of CeGdTlIn. Values from VASP.

Cell and atoms, written as Quantum ESPRESSO input:
```
&SYSTEM
  ibrav = 0, nat = 4, ntyp = 4
/
ATOMIC_SPECIES
Tl 204.38 Tl.upf
Gd 157.25 Gd.upf
Ce 140.12 Ce.upf
In 114.82 In.upf
CELL_PARAMETERS angstrom
-4.465 -3.127 0.313
0.014 -5.005 -2.182
-0.035 -4.393 3.243
ATOMIC_POSITIONS angstrom
Tl 0.000 0.000 0.000
Gd -1.121 -3.131 0.343
Ce -3.364 -9.394 1.030
In -2.243 -6.263 0.687
```

- Energy: -6.63 eV per atom
- D(E_F): 8.7 states/eV/f.u.
- Total magnetic moment: 6.26 μB per cell
- Energy relative to the elements: -0.35 eV/atom